An optimized crystal structure of BeHgSbI2. Source: Alexandria, functional PBE-GGA.

Cell: 5.976 5.976 5.687 Å, 90.00 90.00 90.00°
Site moments in Bohr magnetons follow the coordinates.
Positions (direct):
Sb: 0.000 0.000 0.500  0.48
I: 0.000 0.500 0.000  0.04
I: 0.500 0.000 0.000  0.04
Hg: 0.000 0.000 0.000  0.01
Be: 0.500 0.500 0.500  -0.06

Computed properties:
VASP energy (eV/cell): -6.45
Spin magnetization (μB per atom): 0.245
Density of states at the Fermi level (states/eV/cell): 3.49
Energy relative to the elements, uncorrected (eV/atom): 0.960
Space group: P4/mmm